The following is a GGA-PBE calculation of a geometry-optimized Ac8Ni3AuBr4 structure, from Alexandria via LeMat-Bulk.

abc: 8.8132 8.8132 24.5970
angles: 90.00 90.00 120.00
Closest atoms and distances in Å follow each position.
Space group R-3m (No. 166, hexagonal axes)
Asymmetric unit:
Ac1 0.0000 0.0000 0.2311 [6 per cell]  3 Ni 3.00
Ac2 0.0138 0.5069 0.7688 [18 per cell]  2 Ni 2.95, 1 Au 3.09
Ni1 0.0000 0.5000 0.5000 [9 per cell]  6 Ac 2.95-3.00
Au1 0.0000 0.0000 0.5000 [3 per cell]  6 Ac 3.09
Br1 0.0000 0.0000 0.0000 [3 per cell]  6 Ac 3.50
Br2 0.0000 0.5000 0.0000 [9 per cell]  6 Ac 3.58-3.62

The density of states at the Fermi level is 0.42 states/eV per atom. For the uncorrected formation energy, the calculation gives -0.89 eV per atom.

=====

The following is a GGA-PBE calculation of a geometry-optimized Rb3AgF6 structure, from Alexandria via LeMat-Bulk.

abc: 6.5314 6.7943 11.3718
angles: 90.00 124.93 90.00
Closest atoms and distances in Å follow each position.
Space group P2_1/c (No. 14)
Asymmetric unit:
Rb1 0.0000 0.0000 0.0000 [2 per cell]  6 F 2.72-2.78
Rb2 0.2621 0.0504 0.7480 [4 per cell]  6 F 2.83-3.16
Ag1 0.5000 0.0000 0.5000 [2 per cell]  6 F 2.13-2.14
F1 0.1894 0.0437 0.2843 [4 per cell]  1 Ag 2.13
F2 0.2779 0.6744 0.0419 [4 per cell]  1 Ag 2.13
F3 0.3927 0.2413 0.0600 [4 per cell]  1 Ag 2.14

For the uncorrected formation energy, the calculation gives -2.12 eV per atom. The calculation puts the polymorph energy (0 for the lowest one) at 0 meV/atom.

=====

The following is a GGA-PBE calculation of a geometry-optimized AlRh2Au structure, from Alexandria via LeMat-Bulk.

abc: 5.7597 7.0104 2.9711
angles: 90.00 90.00 90.00
Closest atoms and distances in Å follow each position.
Space group Cmmm (No. 65)
Asymmetric unit:
Al1 0.0000 0.0000 0.0000 [2 per cell]  8 Rh 2.71, 2 Au 2.88, 2 Al 2.97
Rh1 0.2500 0.2500 0.5000 [4 per cell]  4 Al 2.71, 4 Au 2.71, 4 Rh 2.88-2.97
Au1 0.0000 0.5000 0.0000 [2 per cell]  8 Rh 2.71, 2 Al 2.88, 2 Au 2.97

As for the calculated formation energy: -1.53 eV per formula unit. The density of states at the Fermi level is 0.69 states/eV per atom.

=====

The following is a GGA-PBE calculation of a geometry-optimized LiCoS2 structure, from Alexandria via LeMat-Bulk.

abc: 3.0489 3.0489 23.1635
angles: 90.00 90.00 120.00
Closest atoms and distances in Å follow each position.
Space group R-3m (No. 166, hexagonal axes)
Asymmetric unit:
Li1 0.0000 0.0000 0.0000 [3 per cell]  6 S 2.49
Co1 0.0000 0.0000 0.5000 [3 per cell]  2 S 2.11
S1 0.0000 0.0000 0.4091 [6 per cell]  1 Co 2.11

The density of states at the Fermi level is 1.05 states/eV per atom. For the uncorrected formation energy, the calculation gives -0.03 eV per atom. The calculation puts the polymorph energy (0 for the lowest one) at 710 meV/atom.

=====

| no. | electronic total energy (hartree per atom) | magnetization (μB/atom) |
| --- | --- | --- |
| 1 | -0.171 | 0.000 |
| 2 | -0.140 | 0.200 |
| 3 | -0.214 | 0.000 |
| 4 | -0.160 | 0.459 |